No. 1
The following is a DFT calculation (PBE) of a geometry-optimized LaTaRe3 structure.

Cell: 4.8695 4.8695 4.8695 Å, 90.00 90.00 90.00°
Closest atoms and distances in Å follow each position.
Sites, in units of the cell vectors:
Re: 0.0000 0.0000 0.5000  2 Ta 2.43
Re: 0.0000 0.5000 0.0000  2 Ta 2.43
Re: 0.5000 0.0000 0.0000  2 Ta 2.43
La: 0.5000 0.5000 0.5000  12 Re 3.44
Ta: 0.0000 0.0000 0.0000  6 Re 2.43

The calculation puts the density of states at the Fermi level at 4.6 states/eV/f.u. The space group is Pm-3m, No. 221. The value obtained for the formation enthalpy at 0 K is 1.44 eV/atom. For the energy, the calculation gives -46.93 eV/cell. The volume is 115.5 Å³/f.u.

No. 2
The following is a DFT calculation (PBE) of a geometry-optimized Hf4Re3Pd structure.

Cell: 3.2976 4.6543 9.2407 Å, 90.00 90.00 90.00°
Closest atoms and distances in Å follow each position.
Sites, in units of the cell vectors:
Hf: 0.0000 0.5000 0.7432  6 Re 2.79-2.85, 2 Pd 2.89
Hf: 0.0000 0.5000 0.2568  6 Re 2.79-2.85, 2 Pd 2.89
Hf: 0.0000 0.0000 0.0000  4 Re 2.81, 4 Pd 2.85
Hf: 0.0000 0.0000 0.5000  8 Re 2.85-2.87
Re: 0.5000 0.5000 0.5000  8 Hf 2.79-2.85
Re: 0.5000 0.0000 0.2456  8 Hf 2.81-2.87
Re: 0.5000 0.0000 0.7544  8 Hf 2.81-2.87
Pd: 0.5000 0.5000 0.0000  8 Hf 2.85-2.89

The calculation puts the density of states at the Fermi level at 5.5 states/eV/f.u. The space group is Pmmm, No. 47. The value obtained for the formation enthalpy at 0 K is -0.46 eV/atom. For the energy, the calculation gives -86.01 eV/cell. The volume is 141.8 Å³/f.u.

No. 3
The following is a DFT calculation (PBE) of a geometry-optimized Pr2NdTe3 structure.

Cell: 4.5424 6.3785 7.8161 Å, 114.08 106.89 90.00°
Closest atoms and distances in Å follow each position.
Sites, in units of the cell vectors:
Te: 0.1649 0.6649 0.8297  2 Nd 3.18, 4 Pr 3.19-3.20
Te: 0.8351 0.3351 0.1703  2 Nd 3.18, 4 Pr 3.19-3.20
Te: 0.5000 0.0000 0.5000  2 Nd 3.19, 4 Pr 3.22
Pr: 0.1683 0.1683 0.8366  6 Te 3.19-3.22
Pr: 0.8317 0.8317 0.1634  6 Te 3.19-3.22
Nd: 0.5000 0.5000 0.5000  6 Te 3.18-3.19

The calculation puts the density of states at the Fermi level at 3.1 states/eV/f.u. The space group is Immm, No. 71. For the energy, the calculation gives -32.35 eV/cell. The volume is 196.0 Å³/f.u. The value obtained for the raw formation energy is -8.60 eV/f.u.

No. 4
The following is a DFT calculation (PBE) of a geometry-optimized Ce12In3Sn structure.

Cell: 4.8049 4.8049 19.1662 Å, 90.00 90.00 90.00°
Closest atoms and distances in Å follow each position.
Sites, in units of the cell vectors:
Sn: 0.0000 0.0000 0.0000  12 Ce 3.37-3.40
Ce: 0.0000 0.5000 0.8765  8 Ce 3.37-3.42, 2 Sn 3.37, 2 In 3.40
Ce: 0.5000 0.0000 0.6254  8 Ce 3.38-3.40, 4 In 3.40
Ce: 0.5000 0.5000 0.5000  4 In 3.40, 8 Ce 3.40
Ce: 0.5000 0.0000 0.3746  8 Ce 3.38-3.40, 4 In 3.40
Ce: 0.0000 0.5000 0.1235  8 Ce 3.37-3.42, 2 Sn 3.37, 2 In 3.40
Ce: 0.0000 0.5000 0.6254  8 Ce 3.38-3.40, 4 In 3.40
Ce: 0.0000 0.5000 0.3746  8 Ce 3.38-3.40, 4 In 3.40
Ce: 0.5000 0.5000 0.0000  8 Ce 3.37, 4 Sn 3.40
Ce: 0.5000 0.0000 0.1235  8 Ce 3.37-3.42, 2 Sn 3.37, 2 In 3.40
Ce: 0.5000 0.0000 0.8765  8 Ce 3.37-3.42, 2 Sn 3.37, 2 In 3.40
Ce: 0.5000 0.5000 0.2506  8 Ce 3.38-3.42, 4 In 3.40
Ce: 0.5000 0.5000 0.7494  8 Ce 3.38-3.42, 4 In 3.40
In: 0.0000 0.0000 0.5000  12 Ce 3.40
In: 0.0000 0.0000 0.7507  12 Ce 3.40
In: 0.0000 0.0000 0.2493  12 Ce 3.40

The calculation puts the density of states at the Fermi level at 50.0 states/eV/f.u. The space group is P4/mmm, No. 123. The value obtained for the formation enthalpy at 0 K is -0.25 eV/atom. For the energy, the calculation gives -87.38 eV/cell. The volume is 442.5 Å³/f.u.

No. 5
The following is a DFT calculation (PBE) of a geometry-optimized Y3P2Rh2 structure.

Cell: 5.4827 7.2227 13.7423 Å, 90.00 90.00 90.00°
Closest atoms and distances in Å follow each position.
Sites, in units of the cell vectors:
P: 0.6372 0.4660 0.4027  3 Rh 2.45-2.53
P: 0.3628 0.5340 0.9027  3 Rh 2.45-2.53
P: 0.6372 0.4660 0.0973  3 Rh 2.45-2.53
P: 0.3628 0.5340 0.5973  3 Rh 2.45-2.53
P: 0.3628 0.9660 0.4027  3 Rh 2.45-2.53
P: 0.6372 0.0340 0.9027  3 Rh 2.45-2.53
P: 0.3628 0.9660 0.0973  3 Rh 2.45-2.53
P: 0.6372 0.0340 0.5973  3 Rh 2.45-2.53
Y: 0.1334 0.8945 0.9024  4 P 2.89-3.00, 5 Rh 2.93-3.23
Y: 0.1334 0.6055 0.0976  4 P 2.89-3.00, 5 Rh 2.93-3.23
Y: 0.1334 0.6055 0.4024  4 P 2.89-3.00, 5 Rh 2.93-3.23
Y: 0.8666 0.1055 0.4024  4 P 2.89-3.00, 5 Rh 2.93-3.23
Y: 0.8666 0.3945 0.5976  4 P 2.89-3.00, 5 Rh 2.93-3.23
Y: 0.8666 0.3945 0.9024  4 P 2.89-3.00, 5 Rh 2.93-3.23
Y: 0.3744 0.2470 0.7500  3 Rh 2.90-2.95, 4 P 2.95-2.97
Y: 0.8666 0.1055 0.0976  4 P 2.89-3.00, 5 Rh 2.93-3.23
Y: 0.1334 0.8945 0.5976  4 P 2.89-3.00, 5 Rh 2.93-3.23
Y: 0.6256 0.7470 0.7500  3 Rh 2.90-2.95, 4 P 2.95-2.97
Y: 0.3744 0.2530 0.2500  3 Rh 2.90-2.95, 4 P 2.95-2.97
Y: 0.6256 0.7530 0.2500  3 Rh 2.90-2.95, 4 P 2.95-2.97
Rh: 0.3673 0.2500 0.0000  4 P 2.45-2.53
Rh: 0.6327 0.7500 0.5000  4 P 2.45-2.53
Rh: 0.6327 0.7500 0.0000  4 P 2.45-2.53
Rh: 0.8771 0.4003 0.2500  2 P 2.52
Rh: 0.8771 0.0997 0.7500  2 P 2.52
Rh: 0.3673 0.2500 0.5000  4 P 2.45-2.53
Rh: 0.1229 0.9003 0.2500  2 P 2.52
Rh: 0.1229 0.5997 0.7500  2 P 2.52

The calculation puts the density of states at the Fermi level at 4.0 states/eV/f.u. The space group is Pbcm, No. 57. The value obtained for the formation enthalpy at 0 K is -1.15 eV/atom. For the energy, the calculation gives -211.88 eV/cell. The volume is 136.0 Å³/f.u.

No. 6
The following is a DFT calculation (PBE) of a geometry-optimized Ge19P4Cl4 structure.

Cell: 10.4988 10.4988 10.4988 Å, 90.00 90.00 90.00°
Closest atoms and distances in Å follow each position.
Sites, in units of the cell vectors:
Ge: 0.0000 0.7500 0.5000  4 Ge 2.45
Ge: 0.3151 0.6849 0.6849  1 P 2.38, 3 Ge 2.45
Ge: 0.1928 0.3818 0.5021  1 P 2.41, 3 Ge 2.45-2.48
Ge: 0.4979 0.1928 0.6182  1 P 2.41, 3 Ge 2.45-2.48
Ge: 0.8818 0.3072 0.9979  1 P 2.41, 3 Ge 2.45-2.48
Ge: 0.5000 0.0000 0.7500  4 Ge 2.45
Ge: 0.6928 0.0021 0.8818  1 P 2.41, 3 Ge 2.45-2.48
Ge: 0.1928 0.6182 0.4979  1 P 2.41, 3 Ge 2.45-2.48
Ge: 0.8072 0.3818 0.4979  1 P 2.41, 3 Ge 2.45-2.48
Ge: 0.6182 0.5021 0.8072  1 P 2.41, 3 Ge 2.45-2.48
Ge: 0.8072 0.6182 0.5021  1 P 2.41, 3 Ge 2.45-2.48
Ge: 0.9979 0.1182 0.6928  1 P 2.41, 3 Ge 2.45-2.48
Ge: 0.3072 0.0021 0.1182  1 P 2.41, 3 Ge 2.45-2.48
Ge: 0.8151 0.8151 0.8151  1 P 2.38, 3 Ge 2.45
Ge: 0.6849 0.6849 0.3151  1 P 2.38, 3 Ge 2.45
Ge: 0.6928 0.9979 0.1182  1 P 2.41, 3 Ge 2.45-2.48
Ge: 0.2500 0.5000 0.0000  4 Ge 2.45
Ge: 0.5000 0.0000 0.2500  4 Ge 2.45
Ge: 0.9979 0.8818 0.3072  1 P 2.41, 3 Ge 2.45-2.48
Ge: 0.5021 0.8072 0.6182  1 P 2.41, 3 Ge 2.45-2.48
Ge: 0.0021 0.1182 0.3072  1 P 2.41, 3 Ge 2.45-2.48
Ge: 0.6849 0.3151 0.6849  1 P 2.38, 3 Ge 2.45
Ge: 0.3151 0.3151 0.3151  1 P 2.38, 3 Ge 2.45
Ge: 0.8818 0.6928 0.0021  1 P 2.41, 3 Ge 2.45-2.48
Ge: 0.8151 0.1849 0.1849  1 P 2.38, 3 Ge 2.45
Ge: 0.7500 0.5000 0.0000  4 Ge 2.45
Ge: 0.3818 0.4979 0.8072  1 P 2.41, 3 Ge 2.45-2.48
Ge: 0.5021 0.1928 0.3818  1 P 2.41, 3 Ge 2.45-2.48
Ge: 0.1849 0.8151 0.1849  1 P 2.38, 3 Ge 2.45
Ge: 0.0021 0.8818 0.6928  1 P 2.41, 3 Ge 2.45-2.48
Ge: 0.1849 0.1849 0.8151  1 P 2.38, 3 Ge 2.45
Ge: 0.6182 0.4979 0.1928  1 P 2.41, 3 Ge 2.45-2.48
Ge: 0.1182 0.6928 0.9979  1 P 2.41, 3 Ge 2.45-2.48
Ge: 0.3072 0.9979 0.8818  1 P 2.41, 3 Ge 2.45-2.48
Ge: 0.3818 0.5021 0.1928  1 P 2.41, 3 Ge 2.45-2.48
Ge: 0.0000 0.2500 0.5000  4 Ge 2.45
Ge: 0.4979 0.8072 0.3818  1 P 2.41, 3 Ge 2.45-2.48
Ge: 0.1182 0.3072 0.0021  1 P 2.41, 3 Ge 2.45-2.48
P: 0.8159 0.8159 0.1841  4 Ge 2.38-2.41
P: 0.1841 0.8159 0.8159  4 Ge 2.38-2.41
P: 0.1841 0.1841 0.1841  4 Ge 2.38-2.41
P: 0.6841 0.6841 0.6841  4 Ge 2.38-2.41
P: 0.8159 0.1841 0.8159  4 Ge 2.38-2.41
P: 0.6841 0.3159 0.3159  4 Ge 2.38-2.41
P: 0.3159 0.6841 0.3159  4 Ge 2.38-2.41
P: 0.3159 0.3159 0.6841  4 Ge 2.38-2.41
Cl: 0.0000 0.5000 0.7500  16 Ge 3.52-3.90, 4 P 3.90
Cl: 0.0000 0.5000 0.2500  16 Ge 3.52-3.90, 4 P 3.90
Cl: 0.5000 0.2500 0.0000  16 Ge 3.52-3.90, 4 P 3.90
Cl: 0.5000 0.5000 0.5000  4 P 3.35, 16 Ge 3.36-3.46
Cl: 0.7500 0.0000 0.5000  16 Ge 3.52-3.90, 4 P 3.90
Cl: 0.0000 0.0000 0.0000  4 P 3.35, 16 Ge 3.36-3.46
Cl: 0.5000 0.7500 0.0000  16 Ge 3.52-3.90, 4 P 3.90
Cl: 0.2500 0.0000 0.5000  16 Ge 3.52-3.90, 4 P 3.90

The space group is P-43n, No. 218. For the energy, the calculation gives -244.66 eV/cell. The volume is 578.6 Å³/f.u. The value obtained for the raw formation energy is -5.58 eV/f.u.

No. 7
The following is a DFT calculation (PBE) of a geometry-optimized AcTm2C structure.

Cell: 3.5670 3.5670 10.2691 Å, 80.00 80.00 60.00°
Closest atoms and distances in Å follow each position.
Sites, in units of the cell vectors:
Tm: 0.1232 0.1232 0.6304  3 C 2.44
Tm: 0.8768 0.8768 0.3696  3 C 2.44
Ac: 0.0000 0.0000 0.0000  6 Ac 3.57, 2 Tm 3.72
C: 0.5000 0.5000 0.5000  6 Tm 2.44

The calculation puts the density of states at the Fermi level at 4.8 states/eV/f.u. The space group is R-3m, No. 166. The value obtained for the formation enthalpy at 0 K is -0.10 eV/atom. For the energy, the calculation gives -22.68 eV/cell. The volume is 110.9 Å³/f.u.

No. 8
The following is a DFT calculation (PBE) of a geometry-optimized Li2TbTh structure.

Cell: 3.6836 3.6836 7.4003 Å, 90.00 90.00 90.00°
Closest atoms and distances in Å follow each position.
Sites, in units of the cell vectors:
Tb: 0.5000 0.5000 0.0000  8 Li 3.18
Li: 0.0000 0.0000 0.2461  4 Tb 3.18, 4 Th 3.21
Li: 0.0000 0.0000 0.7539  4 Tb 3.18, 4 Th 3.21
Th: 0.5000 0.5000 0.5000  8 Li 3.21

The calculation puts the density of states at the Fermi level at 4.0 states/eV/f.u. The space group is P4/mmm, No. 123. The value obtained for the formation enthalpy at 0 K is 0.22 eV/atom. For the energy, the calculation gives -14.99 eV/cell. The volume is 100.4 Å³/f.u.